a | DFT (PBE) results for a relaxed structure of K2FeBr.

The structure in POSCAR format:
```
K2FeBr
1.0
8.287 0.000 0.000
0.000 8.287 0.000
0.000 0.000 8.287
K Fe Br
8 4 4
Cartesian
2.072 2.072 2.072
2.072 2.072 6.215
2.072 6.215 2.072
2.072 6.215 6.215
6.215 2.072 2.072
6.215 2.072 6.215
6.215 6.215 2.072
6.215 6.215 6.215
0.000 0.000 0.000
0.000 4.143 4.143
4.143 0.000 4.143
4.143 4.143 0.000
0.000 0.000 4.143
0.000 4.143 0.000
4.143 0.000 0.000
4.143 4.143 4.143
```

Its space-group type is No. 225. For the total magnetic moment, the calculation gives 12.0 Bohr magnetons per cell.

b | DFT (PBE) results for a relaxed structure of K2FeBr.

The structure in POSCAR format:
```
K2FeBr
1.0
4.839 0.000 0.000
0.000 4.839 0.000
0.000 0.000 6.970
K Fe Br
2 1 1
Cartesian
0.000 0.000 0.000
2.420 2.420 3.470
2.420 2.420 6.947
0.000 0.000 3.480
```

Its space-group type is No. 99. For the total magnetic moment, the calculation gives 3.0 Bohr magnetons per cell.

c | DFT (PBE) results for a relaxed structure of K2FeBr.

The structure in POSCAR format:
```
K2FeBr
1.0
4.718 0.000 0.000
0.000 4.718 0.000
0.000 0.000 13.566
K Fe Br
4 2 2
Cartesian
0.000 0.000 0.000
0.000 2.359 3.392
2.359 0.000 10.175
2.359 2.359 6.783
0.000 0.000 6.783
2.359 2.359 0.000
0.000 2.359 10.175
2.359 0.000 3.392
```

Its space-group type is No. 119. For the total magnetic moment, the calculation gives 6.0 Bohr magnetons per cell.

d | DFT (PBE) results for a relaxed structure of K2FeBr.

The structure in POSCAR format:
```
K2FeBr
1.0
4.065 0.000 0.000
0.000 4.296 0.000
0.000 0.000 17.792
K Fe Br
4 2 2
Cartesian
0.000 0.000 0.000
0.000 2.148 4.078
2.033 0.000 12.974
2.033 2.148 8.896
0.000 0.000 6.905
2.033 2.148 15.801
0.000 2.148 11.506
2.033 0.000 2.610
```

Its space-group type is No. 44. For the total magnetic moment, the calculation gives 6.2 Bohr magnetons per cell.

Quick one: least stable of them? c